## one
A plane-wave DFT calculation with PBE was carried out for a relaxed LuBeTc crystal.

a b c (Å): 6.1696 6.1696 6.1696
angles (deg): 90.00 90.00 90.00
Closest atoms and distances in Å follow each position.
Space group F-43m (No. 216)
Unique sites:
Lu 0.0000 0.0000 0.0000 x4  4 Tc 2.67, 4 Be 2.67
Be 0.2500 0.2500 0.7500 x4  4 Lu 2.67
Tc 0.2500 0.2500 0.2500 x4  4 Lu 2.67

## two
A plane-wave DFT calculation with PBE was carried out for a relaxed LuBeTc crystal.

a b c (Å): 6.0560 6.0560 6.0560
angles (deg): 90.00 90.00 90.00
Closest atoms and distances in Å follow each position.
Space group F-43m (No. 216)
Unique sites:
Lu 0.0000 0.0000 0.0000 x4  4 Tc 2.62
Be 0.0000 0.0000 0.5000 x4  4 Tc 2.62
Tc 0.2500 0.2500 0.7500 x4  4 Be 2.62, 4 Lu 2.62

Result of the stability comparison: two is the most stable of them.

## one
A plane-wave DFT calculation with PBE was carried out for a relaxed LuBeTcTe crystal.

a b c (Å): 6.6469 6.6469 6.6469
angles (deg): 90.00 90.00 90.00
Closest atoms and distances in Å follow each position.
Space group F-43m (No. 216)
Unique sites:
Lu 0.0000 0.0000 0.0000 x4  4 Tc 2.88, 4 Te 2.88
Be 0.0000 0.0000 0.5000 x4  4 Te 2.88, 4 Tc 2.88
Tc 0.2500 0.2500 0.2500 x4  4 Be 2.88, 4 Lu 2.88
Te 0.2500 0.2500 0.7500 x4  4 Be 2.88, 4 Lu 2.88

## two
A plane-wave DFT calculation with PBE was carried out for a relaxed LuBeTcTe crystal.

a b c (Å): 6.5383 6.5383 6.5383
angles (deg): 90.00 90.00 90.00
Closest atoms and distances in Å follow each position.
Space group F-43m (No. 216)
Unique sites:
Lu 0.0000 0.0000 0.0000 x4  4 Be 2.83, 4 Tc 2.83
Be 0.2500 0.2500 0.2500 x4  4 Te 2.83, 4 Lu 2.83
Tc 0.2500 0.2500 0.7500 x4  4 Te 2.83, 4 Lu 2.83
Te 0.0000 0.0000 0.5000 x4  4 Tc 2.83, 4 Be 2.83

## three
A plane-wave DFT calculation with PBE was carried out for a relaxed LuBeTcTe crystal.

a b c (Å): 6.5554 6.5554 6.5554
angles (deg): 90.00 90.00 90.00
Closest atoms and distances in Å follow each position.
Space group F-43m (No. 216)
Unique sites:
Lu 0.0000 0.0000 0.0000 x4  4 Te 2.84, 4 Be 2.84
Be 0.2500 0.2500 0.7500 x4  4 Tc 2.84, 4 Lu 2.84
Tc 0.0000 0.0000 0.5000 x4  4 Be 2.84, 4 Te 2.84
Te 0.2500 0.2500 0.2500 x4  4 Tc 2.84, 4 Lu 2.84

Result of the stability comparison: three is the most stable of them.